DFT (GGA-PBE) results for a relaxed structure of TbGdGe2Os.

- magnetization (μB/f.u.) = 0.012
- DFT total energy (eV/atom) = -6.64

Structure (POSCAR):
```
TbGdGe2Os
1.0
5.4382 -2.1571 0.0000
5.4382 2.1571 0.0000
-4.8582 0.0000 9.0002
Tb Gd Ge Os
2 2 4 2
Cartesian
-0.8073 0.0000 1.5695
6.8255 0.0000 7.4308
-0.9783 0.0000 5.5253
6.9965 0.0000 3.4750
-0.6849 0.0000 8.4336
2.2881 0.0000 5.6379
3.7301 0.0000 3.3623
6.7031 0.0000 0.5666
2.3180 0.0000 1.1694
3.7002 0.0000 7.8309
```